SrAg2Sb | PBE | optimized geometry

Unit cell a=3.639 b=5.022 c=5.821 alpha=90.00 beta=90.00 gamma=90.00
Space group Pmmm (No. 47)
Unique sites:
Sr 0.000 0.000 0.000 [1 per cell]
Ag 0.500 0.500 0.242 [2 per cell]
Sb 0.500 0.000 0.500 [1 per cell]

Computed properties:
- V: 26.59 A^3/atom
- Crystal system: orthorhombic
- Density of states at the Fermi level: 0.9 states/eV/f.u.
- ΔE_f (raw): -0.32 eV per atom
- Theoretical density: 6637 kg/m3